[1]
DFT (GGA-PBE) results for an optimized crystal structure of TmHfNi2.

* magnetization: 0.000 μB per formula unit
* E_form: -0.411 eV/atom
* ΔE to the lowest computed polymorph: 95 meV per atom
* total DFT energy (no corrections): -6.908 eV per atom
* Fermi-level density of states: 10.20 states/eV/cell

abc: 4.4087 4.4087 12.7430
angles: 90.00 90.00 120.00
With the nearest neighbours (Å) after each atom.
Fractional coordinates of all 12 atoms:
Tm 0.0000 0.0000 0.0000  8 Ni 2.77-2.94
Tm 0.3333 0.6667 0.6667  8 Ni 2.77-2.94
Tm 0.6667 0.3333 0.3333  8 Ni 2.77-2.94
Hf 0.0000 0.0000 0.5000  6 Ni 2.63
Hf 0.3333 0.6667 0.1667  6 Ni 2.63
Hf 0.6667 0.3333 0.8333  6 Ni 2.63
Ni 0.0000 0.0000 0.2174  3 Hf 2.63, 1 Tm 2.77, 3 Ni 2.85
Ni 0.0000 0.0000 0.7826  3 Hf 2.63, 1 Tm 2.77, 3 Ni 2.85
Ni 0.3333 0.6667 0.4493  3 Hf 2.63, 1 Tm 2.77, 3 Ni 2.85
Ni 0.3333 0.6667 0.8840  3 Hf 2.63, 1 Tm 2.77, 3 Ni 2.85
Ni 0.6667 0.3333 0.1160  3 Hf 2.63, 1 Tm 2.77, 3 Ni 2.85
Ni 0.6667 0.3333 0.5507  3 Hf 2.63, 1 Tm 2.77, 3 Ni 2.85


[2]
DFT (GGA-PBE) results for an optimized crystal structure of LiTl5In4.

* magnetization: 0.000 μB per formula unit
* E_form: -0.029 eV/atom
* total DFT energy (no corrections): -2.499 eV per atom
* Fermi-level density of states: 2.64 states/eV/cell

abc: 3.4281 3.4281 23.3148
angles: 90.00 90.00 90.00
With the nearest neighbours (Å) after each atom.
Fractional coordinates of all 10 atoms:
Li 0.0000 0.0000 0.0000  8 Tl 3.05
Tl 0.5000 0.5000 0.0791  4 Li 3.05, 4 In 3.39
Tl 0.5000 0.5000 0.2868  4 Tl 3.43, 8 In 3.47
Tl 0.5000 0.5000 0.5000  4 Tl 3.43, 8 In 3.47
Tl 0.5000 0.5000 0.7132  4 Tl 3.43, 8 In 3.47
Tl 0.5000 0.5000 0.9209  4 Li 3.05, 4 In 3.39
In 0.0000 0.0000 0.1805  8 Tl 3.39-3.47, 4 In 3.43
In 0.0000 0.0000 0.3934  4 In 3.43, 8 Tl 3.47
In 0.0000 0.0000 0.6066  4 In 3.43, 8 Tl 3.47
In 0.0000 0.0000 0.8195  8 Tl 3.39-3.47, 4 In 3.43


[3]
DFT (GGA-PBE) results for an optimized crystal structure of KFeCo2.

* magnetization: 5.996 μB per formula unit
* E_form: 0.679 eV/atom
* ΔE to the lowest computed polymorph: 45 meV per atom
* total DFT energy (no corrections): -5.264 eV per atom
* Fermi-level density of states: 10.15 states/eV/cell

abc: 8.0067 2.7287 6.9746
angles: 90.00 94.93 90.00
With the nearest neighbours (Å) after each atom.
Fractional coordinates of all 8 atoms:
K 0.0000 0.0000 0.0000  2 K 2.73
K 0.5000 0.5000 0.0000  2 K 2.73
Fe 0.0000 0.5000 0.5000  6 Co 2.40-2.45
Fe 0.5000 0.0000 0.5000  6 Co 2.40-2.45
Co 0.2268 0.0000 0.6346  2 Co 2.38, 3 Fe 2.40-2.45
Co 0.2732 0.5000 0.3654  2 Co 2.38, 3 Fe 2.40-2.45
Co 0.7268 0.5000 0.6346  2 Co 2.38, 3 Fe 2.40-2.45
Co 0.7732 0.0000 0.3654  2 Co 2.38, 3 Fe 2.40-2.45


[4]
DFT (GGA-PBE) results for an optimized crystal structure of Ta2CuRe2.

* magnetization: 0.000 μB per formula unit
* E_form: 0.763 eV/atom
* ΔE to the lowest computed polymorph: 59 meV per atom
* total DFT energy (no corrections): -9.777 eV per atom
* Fermi-level density of states: 7.26 states/eV/cell

abc: 4.2565 4.2565 10.9021
angles: 90.00 90.00 90.00
With the nearest neighbours (Å) after each atom.
Fractional coordinates of all 10 atoms:
Ta 0.0000 0.5000 0.2500  4 Re 2.59
Ta 0.0000 0.5000 0.7500  4 Re 2.59
Ta 0.5000 0.0000 0.2500  4 Re 2.59
Ta 0.5000 0.0000 0.7500  4 Re 2.59
Cu 0.0000 0.0000 0.0000  8 Re 3.26, 8 Ta 3.46
Cu 0.5000 0.5000 0.5000  8 Re 3.26, 8 Ta 3.46
Re 0.0000 0.0000 0.3862  1 Re 2.48, 4 Ta 2.59
Re 0.0000 0.0000 0.6138  1 Re 2.48, 4 Ta 2.59
Re 0.5000 0.5000 0.1138  1 Re 2.48, 4 Ta 2.59
Re 0.5000 0.5000 0.8862  1 Re 2.48, 4 Ta 2.59


[5]
DFT (GGA-PBE) results for an optimized crystal structure of Mg3Al2Cu4.

* magnetization: 0.000 μB per formula unit
* E_form: -0.137 eV/atom
* ΔE to the lowest computed polymorph: 86 meV per atom
* total DFT energy (no corrections): -3.320 eV per atom
* Fermi-level density of states: 2.77 states/eV/cell

abc: 4.9757 4.9757 7.9509
angles: 96.09 96.09 49.32
With the nearest neighbours (Å) after each atom.
Fractional coordinates of all 9 atoms:
Mg 0.0000 0.0000 0.0000  6 Cu 2.66-2.93
Mg 0.3776 0.3776 0.6059  6 Cu 2.68-2.86, 1 Mg 2.93, 2 Al 2.96-3.00
Mg 0.6224 0.6224 0.3941  6 Cu 2.68-2.86, 1 Mg 2.93, 2 Al 2.96-3.00
Al 0.3115 0.3115 0.2278  5 Cu 2.45-2.48
Al 0.6885 0.6885 0.7722  5 Cu 2.45-2.48
Cu 0.0854 0.0854 0.6324  2 Cu 2.46-2.65, 2 Al 2.48, 1 Mg 2.68
Cu 0.2751 0.2751 0.9136  3 Al 2.45-2.48, 3 Cu 2.56-2.65, 2 Mg 2.66-2.72
Cu 0.7249 0.7249 0.0864  3 Al 2.45-2.48, 3 Cu 2.56-2.65, 2 Mg 2.66-2.72
Cu 0.9146 0.9146 0.3676  2 Cu 2.46-2.65, 2 Al 2.48, 1 Mg 2.68


[6]
DFT (GGA-PBE) results for an optimized crystal structure of Rb2PmTlO4.

* magnetization: 0.000 μB per formula unit
* total DFT energy (no corrections): -5.308 eV per atom
* ΔE_f (raw): -1.697 eV/atom

abc: 7.3805 7.3805 7.3749
angles: 118.26 118.26 92.39
With the nearest neighbours (Å) after each atom.
Fractional coordinates of all 16 atoms:
Rb 0.0000 0.0000 0.0000  6 O 2.77-3.00
Rb 0.0000 0.0000 0.5000  6 O 2.77-3.00
Rb 0.0000 0.5000 0.0000  6 O 2.81-2.90
Rb 0.5000 0.0000 0.5000  6 O 2.81-2.90
Pm 0.5000 0.5000 0.0000  6 O 2.38-2.49
Pm 0.5000 0.5000 0.5000  6 O 2.38-2.49
Tl 0.0000 0.5000 0.5000  2 O 2.23
Tl 0.5000 0.0000 0.0000  2 O 2.23
O 0.2451 0.7080 0.5188  1 Tl 2.23, 1 Pm 2.49
O 0.2838 0.3096 0.5550  2 Pm 2.38-2.40, 1 Tl 2.55
O 0.2920 0.7549 0.9812  1 Tl 2.23, 1 Pm 2.49
O 0.3096 0.2838 0.0550  2 Pm 2.38-2.40, 1 Tl 2.55
O 0.6904 0.7162 0.9450  2 Pm 2.38-2.40, 1 Tl 2.55
O 0.7080 0.2451 0.0188  1 Tl 2.23, 1 Pm 2.49
O 0.7162 0.6904 0.4450  2 Pm 2.38-2.40, 1 Tl 2.55
O 0.7549 0.2920 0.4812  1 Tl 2.23, 1 Pm 2.49


[7]
DFT (GGA-PBE) results for an optimized crystal structure of CsLaS2O6.

* magnetization: 0.000 μB per formula unit
* total DFT energy (no corrections): -6.420 eV per atom
* Fermi-level density of states: 0.00 states/eV/cell
* ΔE_f (raw): -2.042 eV/atom

abc: 6.9706 6.9706 8.3577
angles: 105.16 105.16 97.69
With the nearest neighbours (Å) after each atom.
Fractional coordinates of all 20 atoms:
Cs 0.1525 0.8475 0.7500  6 O 3.05-3.27
Cs 0.8475 0.1525 0.2500  6 O 3.05-3.27
La 0.4378 0.5622 0.2500  8 O 2.48-2.74
La 0.5622 0.4378 0.7500  8 O 2.48-2.74
S 0.0991 0.3382 0.7898  3 O 1.53-1.58
S 0.3382 0.0991 0.2898  3 O 1.53-1.58
S 0.6618 0.9009 0.7102  3 O 1.53-1.58
S 0.9009 0.6618 0.2102  3 O 1.53-1.58
O 0.0778 0.5528 0.2420  1 S 1.53
O 0.1760 0.3094 0.6293  1 S 1.55
O 0.2878 0.5030 0.9304  1 S 1.58
O 0.3094 0.1760 0.1293  1 S 1.55
O 0.4472 0.9222 0.2580  1 S 1.53
O 0.4970 0.7122 0.5696  1 S 1.58
O 0.5030 0.2878 0.4304  1 S 1.58
O 0.5528 0.0778 0.7420  1 S 1.53
O 0.6906 0.8240 0.8707  1 S 1.55
O 0.7122 0.4970 0.0696  1 S 1.58
O 0.8240 0.6906 0.3707  1 S 1.55
O 0.9222 0.4472 0.7580  1 S 1.53


[8]
DFT (GGA-PBE) results for an optimized crystal structure of Sm3Ho2In4.

* magnetization: 0.000 μB per formula unit
* E_form: -0.238 eV/atom
* total DFT energy (no corrections): -4.045 eV per atom
* Fermi-level density of states: 12.89 states/eV/cell

abc: 8.4900 8.4900 9.9536
angles: 90.00 90.00 130.42
With the nearest neighbours (Å) after each atom.
Fractional coordinates of all 18 atoms:
Sm 0.0000 0.0000 0.0000  6 In 3.03-3.06
Sm 0.0252 0.4748 0.2500  5 In 3.17-3.33
Sm 0.4748 0.0252 0.7500  5 In 3.17-3.33
Sm 0.5000 0.5000 0.5000  6 In 3.03-3.06
Sm 0.5252 0.9748 0.2500  5 In 3.17-3.33
Sm 0.9748 0.5252 0.7500  5 In 3.17-3.33
Ho 0.1046 0.8954 0.4639  3 In 3.11-3.28, 1 Ho 3.30
Ho 0.3954 0.6046 0.9639  3 In 3.11-3.28, 1 Ho 3.30
Ho 0.6046 0.3954 0.0361  3 In 3.11-3.28, 1 Ho 3.30
Ho 0.8954 0.1046 0.5361  3 In 3.11-3.28, 1 Ho 3.30
In 0.1965 0.8035 0.0158  5 Sm 3.03-3.22, 1 Ho 3.11
In 0.2412 0.2588 0.2500  3 Sm 3.06-3.33, 2 Ho 3.28
In 0.2588 0.2412 0.7500  3 Sm 3.06-3.33, 2 Ho 3.28
In 0.3035 0.6965 0.5158  5 Sm 3.03-3.22, 1 Ho 3.11
In 0.6965 0.3035 0.4842  5 Sm 3.03-3.22, 1 Ho 3.11
In 0.7412 0.7588 0.2500  3 Sm 3.06-3.33, 2 Ho 3.28
In 0.7588 0.7412 0.7500  3 Sm 3.06-3.33, 2 Ho 3.28
In 0.8035 0.1965 0.9842  5 Sm 3.03-3.22, 1 Ho 3.11